Record 1
Here is an optimized crystal structure of Ba6As2RhCl3 from Alexandria. Energies are from PBE.

a = 8.1031 Å, b = 8.1031 Å, c = 8.1979 Å
α = 99.49°, β = 99.49°, γ = 120.01°
Closest atoms and distances in Å follow each position.
Element x y z (fractional)
Ba (0.0743, 0.3961, 0.2227)  1 Rh 3.13, 2 As 3.24, 2 Cl 3.41
Ba (0.2478, 0.2478, 0.7792)  1 Rh 3.12, 2 As 3.24, 2 Cl 3.41
Ba (0.3961, 0.0743, 0.2227)  1 Rh 3.13, 2 As 3.24, 2 Cl 3.41
Ba (0.6039, 0.9257, 0.7773)  1 Rh 3.13, 2 As 3.24, 2 Cl 3.41
Ba (0.7522, 0.7522, 0.2208)  1 Rh 3.12, 2 As 3.24, 2 Cl 3.41
Ba (0.9257, 0.6039, 0.7773)  1 Rh 3.13, 2 As 3.24, 2 Cl 3.41
As (0.3331, 0.6669, 0.0000)  6 Ba 3.24
As (0.6669, 0.3331, 0.0000)  6 Ba 3.24
Rh (0.0000, 0.0000, 0.0000)  6 Ba 3.12-3.13
Cl (0.1658, 0.8342, 0.5000)  6 Ba 3.41-3.53
Cl (0.5000, 0.5000, 0.5000)  6 Ba 3.41-3.54
Cl (0.8342, 0.1658, 0.5000)  6 Ba 3.41-3.53

* space group: No. 12

Record 2
Here is an optimized crystal structure of Ba6AsRh2Cl3 from Alexandria. Energies are from PBE.

a = 7.9651 Å, b = 7.9651 Å, c = 8.2041 Å
α = 99.31°, β = 99.31°, γ = 119.99°
Closest atoms and distances in Å follow each position.
Element x y z (fractional)
Ba (0.0840, 0.4272, 0.7815)  2 Rh 3.12, 1 As 3.22, 3 Cl 3.38-3.47
Ba (0.2305, 0.2305, 0.2201)  2 Rh 3.12, 1 As 3.22, 3 Cl 3.37-3.46
Ba (0.4272, 0.0840, 0.7815)  2 Rh 3.12, 1 As 3.22, 3 Cl 3.38-3.47
Ba (0.5728, 0.9160, 0.2185)  2 Rh 3.12, 1 As 3.22, 3 Cl 3.38-3.47
Ba (0.7695, 0.7695, 0.7799)  2 Rh 3.12, 1 As 3.22, 3 Cl 3.37-3.46
Ba (0.9160, 0.5728, 0.2185)  2 Rh 3.12, 1 As 3.22, 3 Cl 3.38-3.47
As (0.5000, 0.5000, 0.0000)  6 Ba 3.22
Rh (0.1665, 0.8335, 0.0000)  6 Ba 3.12
Rh (0.8335, 0.1665, 0.0000)  6 Ba 3.12
Cl (0.0000, 0.0000, 0.5000)  6 Ba 3.37-3.47
Cl (0.3332, 0.6668, 0.5000)  6 Ba 3.38-3.47
Cl (0.6668, 0.3332, 0.5000)  6 Ba 3.38-3.47

* space group: No. 12

Record 3
Here is an optimized crystal structure of BaAsS2Cl from Alexandria. Energies are from PBE.

a = 5.8909 Å, b = 5.8909 Å, c = 5.6640 Å
α = 90.00°, β = 90.00°, γ = 90.00°
Closest atoms and distances in Å follow each position.
Element x y z (fractional)
Ba (0.0000, 0.0000, 0.0000)  2 Cl 2.83, 4 S 2.95
As (0.5000, 0.5000, 0.5000)  8 S 4.09, 4 Cl 4.17
S (0.0000, 0.5000, 0.0000)  2 Ba 2.95
S (0.5000, 0.0000, 0.0000)  2 Ba 2.95
Cl (0.0000, 0.0000, 0.5000)  2 Ba 2.83

* space group: No. 123
* offset from the most stable computed form: 1.389 eV/atom

Record 4
Here is an optimized crystal structure of Ba6AsS3Cl2 from Alexandria. Energies are from PBE.

a = 7.9581 Å, b = 7.9581 Å, c = 8.0093 Å
α = 99.53°, β = 99.53°, γ = 119.99°
Closest atoms and distances in Å follow each position.
Element x y z (fractional)
Ba (0.0878, 0.4109, 0.7634)  3 S 3.17-3.25, 1 As 3.25, 2 Cl 3.35
Ba (0.2356, 0.2356, 0.2379)  3 S 3.18-3.27, 1 As 3.25, 2 Cl 3.34
Ba (0.4109, 0.0878, 0.7634)  3 S 3.17-3.25, 1 As 3.25, 2 Cl 3.35
Ba (0.5891, 0.9122, 0.2366)  3 S 3.17-3.25, 1 As 3.25, 2 Cl 3.35
Ba (0.7644, 0.7644, 0.7621)  3 S 3.18-3.27, 1 As 3.25, 2 Cl 3.34
Ba (0.9122, 0.5891, 0.2366)  3 S 3.17-3.25, 1 As 3.25, 2 Cl 3.35
As (0.0000, 0.0000, 0.5000)  6 Ba 3.25
S (0.1679, 0.8321, 0.0000)  6 Ba 3.17-3.25
S (0.5000, 0.5000, 0.0000)  6 Ba 3.17-3.27
S (0.8321, 0.1679, 0.0000)  6 Ba 3.17-3.25
Cl (0.3336, 0.6664, 0.5000)  6 Ba 3.34-3.35
Cl (0.6664, 0.3336, 0.5000)  6 Ba 3.34-3.35

* space group: No. 12

Record 5
Here is an optimized crystal structure of BaAsS2Cl from Alexandria. Energies are from PBE.

a = 4.9904 Å, b = 4.9904 Å, c = 5.0454 Å
α = 90.00°, β = 90.00°, γ = 90.00°
Closest atoms and distances in Å follow each position.
Element x y z (fractional)
Ba (0.0000, 0.0000, 0.0000)  4 Cl 3.53, 8 S 3.55
As (0.5000, 0.5000, 0.5000)  4 S 2.50, 2 Cl 2.52
S (0.0000, 0.5000, 0.5000)  2 As 2.50
S (0.5000, 0.0000, 0.5000)  2 As 2.50
Cl (0.5000, 0.5000, 0.0000)  2 As 2.52

* space group: No. 123
* offset from the most stable computed form: 0.000 eV/atom

Record 6
Here is an optimized crystal structure of Ba6As2S3Cl from Alexandria. Energies are from PBE.

a = 10.4677 Å, b = 10.4677 Å, c = 9.5331 Å
α = 103.57°, β = 103.57°, γ = 24.98°
Closest atoms and distances in Å follow each position.
Element x y z (fractional)
Ba (0.0007, 0.0007, 0.2332)  3 S 3.17-3.22, 1 As 3.25, 2 Cl 3.41
Ba (0.3273, 0.3273, 0.4207)  3 S 3.21-3.26, 2 As 3.31, 1 Cl 3.43
Ba (0.3323, 0.3323, 0.9101)  3 S 3.28-3.33, 3 As 3.36-3.37
Ba (0.6677, 0.6677, 0.0899)  3 S 3.28-3.33, 3 As 3.36-3.37
Ba (0.6727, 0.6727, 0.5793)  3 S 3.21-3.26, 2 As 3.31, 1 Cl 3.43
Ba (0.9993, 0.9993, 0.7668)  3 S 3.17-3.22, 1 As 3.25, 2 Cl 3.41
As (0.1626, 0.1626, 0.8266)  6 Ba 3.25-3.37
As (0.8374, 0.8374, 0.1734)  6 Ba 3.25-3.37
S (0.1629, 0.1629, 0.3359)  6 Ba 3.21-3.28
S (0.5000, 0.5000, 0.0000)  6 Ba 3.17-3.33
S (0.8371, 0.8371, 0.6641)  6 Ba 3.21-3.28
Cl (0.5000, 0.5000, 0.5000)  6 Ba 3.41-3.43

* space group: No. 12

Record 7
Here is an optimized crystal structure of Ba4AsS2Cl from Alexandria. Energies are from PBE.

a = 8.0518 Å, b = 8.0518 Å, c = 8.0518 Å
α = 132.04°, β = 132.04°, γ = 70.16°
Closest atoms and distances in Å follow each position.
Element x y z (fractional)
Ba (0.0000, 0.5000, 0.5000)  2 Cl 3.27, 2 As 3.27, 2 S 3.29
Ba (0.2414, 0.2414, 0.0000)  1 As 3.18, 4 S 3.27, 1 Cl 3.41
Ba (0.5000, 0.0000, 0.5000)  2 Cl 3.27, 2 As 3.27, 2 S 3.29
Ba (0.7586, 0.7586, 0.0000)  1 As 3.18, 4 S 3.27, 1 Cl 3.41
As (0.0000, 0.0000, 0.0000)  6 Ba 3.18-3.27
S (0.2500, 0.7500, 0.5000)  6 Ba 3.27-3.29
S (0.7500, 0.2500, 0.5000)  6 Ba 3.27-3.29
Cl (0.5000, 0.5000, 0.0000)  6 Ba 3.27-3.41

* space group: No. 139

Record 8
Here is an optimized crystal structure of Ba8AsS3Cl4 from Alexandria. Energies are from PBE.

a = 9.1707 Å, b = 9.1707 Å, c = 9.1707 Å
α = 59.96°, β = 59.96°, γ = 59.96°
Closest atoms and distances in Å follow each position.
Element x y z (fractional)
Ba (0.2425, 0.7449, 0.7449)  2 S 3.16, 1 As 3.18, 3 Cl 3.31-3.32
Ba (0.2432, 0.2432, 0.2432)  3 S 3.16, 3 Cl 3.33
Ba (0.2551, 0.2551, 0.7575)  2 S 3.16, 1 As 3.18, 3 Cl 3.31-3.32
Ba (0.2551, 0.7575, 0.2551)  2 S 3.16, 1 As 3.18, 3 Cl 3.31-3.32
Ba (0.7449, 0.2425, 0.7449)  2 S 3.16, 1 As 3.18, 3 Cl 3.31-3.32
Ba (0.7449, 0.7449, 0.2425)  2 S 3.16, 1 As 3.18, 3 Cl 3.31-3.32
Ba (0.7568, 0.7568, 0.7568)  3 S 3.16, 3 Cl 3.33
Ba (0.7575, 0.2551, 0.2551)  2 S 3.16, 1 As 3.18, 3 Cl 3.31-3.32
As (0.5000, 0.5000, 0.5000)  6 Ba 3.18
S (0.0000, 0.0000, 0.5000)  6 Ba 3.16
S (0.0000, 0.5000, 0.0000)  6 Ba 3.16
S (0.5000, 0.0000, 0.0000)  6 Ba 3.16
Cl (0.0000, 0.0000, 0.0000)  6 Ba 3.31
Cl (0.0000, 0.5000, 0.5000)  6 Ba 3.32-3.33
Cl (0.5000, 0.0000, 0.5000)  6 Ba 3.32-3.33
Cl (0.5000, 0.5000, 0.0000)  6 Ba 3.32-3.33

* space group: No. 166

Record 9
Here is an optimized crystal structure of Ba6AsS2Cl3 from Alexandria. Energies are from PBE.

a = 7.9660 Å, b = 7.9660 Å, c = 7.9669 Å
α = 99.61°, β = 99.61°, γ = 119.93°
Closest atoms and distances in Å follow each position.
Element x y z (fractional)
Ba (0.0866, 0.4228, 0.7685)  2 S 3.17, 1 As 3.19, 3 Cl 3.33-3.35
Ba (0.2413, 0.2413, 0.2321)  2 S 3.17, 1 As 3.20, 3 Cl 3.32
Ba (0.4228, 0.0866, 0.7685)  2 S 3.17, 1 As 3.19, 3 Cl 3.33-3.35
Ba (0.5772, 0.9134, 0.2315)  2 S 3.17, 1 As 3.19, 3 Cl 3.33-3.35
Ba (0.7587, 0.7587, 0.7679)  2 S 3.17, 1 As 3.20, 3 Cl 3.32
Ba (0.9134, 0.5772, 0.2315)  2 S 3.17, 1 As 3.19, 3 Cl 3.33-3.35
As (0.5000, 0.5000, 0.0000)  6 Ba 3.19-3.20
S (0.1666, 0.8334, 0.0000)  6 Ba 3.17
S (0.8334, 0.1666, 0.0000)  6 Ba 3.17
Cl (0.0000, 0.0000, 0.5000)  6 Ba 3.32-3.34
Cl (0.3353, 0.6647, 0.5000)  6 Ba 3.32-3.35
Cl (0.6647, 0.3353, 0.5000)  6 Ba 3.32-3.35

* space group: No. 12

Record 10
Here is an optimized crystal structure of Ba5Sb2AsCl from Alexandria. Energies are from PBE.

a = 10.2179 Å, b = 10.2179 Å, c = 10.2179 Å
α = 145.81°, β = 130.48°, γ = 61.55°
Closest atoms and distances in Å follow each position.
Element x y z (fractional)
Ba (0.0000, 0.0000, 0.0000)  2 As 3.00
Ba (0.0817, 0.3512, 0.7305)  1 As 3.27, 1 Sb 3.50
Ba (0.3793, 0.6488, 0.7305)  1 As 3.27, 1 Sb 3.50
Ba (0.6207, 0.3512, 0.2695)  1 As 3.27, 1 Sb 3.50
Ba (0.9183, 0.6488, 0.2695)  1 As 3.27, 1 Sb 3.50
Sb (0.2015, 0.2015, 0.0000)  7 Ba 3.50-3.71
Sb (0.7985, 0.7985, 0.0000)  7 Ba 3.50-3.71
As (0.0000, 0.5000, 0.5000)  6 Ba 3.00-3.27
Cl (0.5000, 0.0000, 0.5000)  10 Ba 4.28-4.60

* space group: No. 71

Record 11
Here is an optimized crystal structure of BaSbAsCl2 from Alexandria. Energies are from PBE.

a = 5.0655 Å, b = 5.0655 Å, c = 6.8739 Å
α = 90.00°, β = 90.00°, γ = 90.00°
Closest atoms and distances in Å follow each position.
Element x y z (fractional)
Ba (0.0000, 0.0000, 0.0000)  2 As 3.44, 4 Sb 3.58
Sb (0.5000, 0.5000, 0.0000)  4 Ba 3.58
As (0.0000, 0.0000, 0.5000)  4 Cl 2.53
Cl (0.0000, 0.5000, 0.5000)  2 As 2.53
Cl (0.5000, 0.0000, 0.5000)  2 As 2.53

* space group: No. 123

Record 12
Here is an optimized crystal structure of Ba3SbAsCl from Alexandria. Energies are from PBE.

a = 6.8993 Å, b = 6.8993 Å, c = 10.0563 Å
α = 104.13°, β = 104.13°, γ = 82.27°
Closest atoms and distances in Å follow each position.
Element x y z (fractional)
Ba (0.1467, 0.6700, 0.6509)  2 As 3.28-3.48, 1 Cl 3.33, 2 Sb 3.47-3.49
Ba (0.2608, 0.2608, 0.0427)  1 Sb 3.29, 4 Cl 3.31-3.65, 1 As 3.34
Ba (0.3300, 0.8533, 0.3491)  2 As 3.28-3.48, 1 Cl 3.33, 2 Sb 3.47-3.49
Ba (0.6700, 0.1467, 0.6509)  2 As 3.28-3.48, 1 Cl 3.33, 2 Sb 3.47-3.49
Ba (0.7392, 0.7392, 0.9573)  1 Sb 3.29, 4 Cl 3.31-3.65, 1 As 3.34
Ba (0.8533, 0.3300, 0.3491)  2 As 3.28-3.48, 1 Cl 3.33, 2 Sb 3.47-3.49
Sb (0.1808, 0.1808, 0.6984)  5 Ba 3.29-3.49
Sb (0.8192, 0.8192, 0.3016)  5 Ba 3.29-3.49
As (0.3915, 0.3915, 0.3926)  1 As 2.57
As (0.6085, 0.6085, 0.6074)  1 As 2.57
Cl (0.2245, 0.7755, 0.0000)  6 Ba 3.31-3.65
Cl (0.7755, 0.2245, 0.0000)  6 Ba 3.31-3.65

* space group: No. 12

| no. | raw formation energy (eV/atom) |
| --- | --- |
| 1 | -1.4886 |
| 2 | -1.2624 |
| 3 | 0.3834 |
| 4 | -1.9283 |
| 5 | -1.0055 |
| 6 | -1.7112 |
| 7 | -1.8704 |
| 8 | -1.9095 |
| 9 | -1.8897 |
| 10 | -1.0893 |
| 11 | -0.3689 |
| 12 | -1.3090 |